Record 1
# Ba3TaO

An optimized crystal structure of Ba3TaO (PBE-GGA, Alexandria).

Cell: 5.5170 5.5170 5.5170 Å, 90.00 90.00 90.00°
Last column: nearest neighbours and their distance in Å.
Fractional positions:
1 Ba 0.0000 0.5000 0.0000  2 O 2.76
2 Ba 0.0000 0.0000 0.5000  2 O 2.76
3 Ba 0.5000 0.0000 0.0000  2 O 2.76
4 O 0.0000 0.0000 0.0000  6 Ba 2.76
5 Ta 0.5000 0.5000 0.5000  12 Ba 3.90

Volume: 167.9 Å³/f.u.
Energy above the most stable polymorph in this dataset: 0.000 eV/atom
Magnetization: 4.522 μB per cell
SG: Pm-3m
VASP energy: -4.7383 eV per atom

---

Record 2
# Ba2Ta2O7

An optimized crystal structure of Ba2Ta2O7 (PBE-GGA, Alexandria).

Cell: 7.7715 7.7715 7.7715 Å, 120.44 117.51 91.81°
Last column: nearest neighbours and their distance in Å.
Fractional positions:
1 Ba 0.0000 0.0000 0.0000  6 O 2.54-2.80
2 Ba 0.5000 0.5000 0.0000  6 O 2.54-2.80
3 Ba 0.0000 0.5000 0.0000  4 O 2.61
4 Ba 0.0000 0.0000 0.5000  4 O 2.61
5 Ta 0.5000 0.0000 0.0000  6 O 2.01-2.05
6 Ta 0.5000 0.0000 0.5000  6 O 1.95-2.06
7 Ta 0.5000 0.5000 0.5000  6 O 2.01-2.05
8 Ta 0.0000 0.5000 0.5000  6 O 1.95-2.06
9 O 0.7987 0.1920 0.2282  2 Ta 2.01-2.06
10 O 0.7998 0.0904 0.7094  1 Ta 1.95
11 O 0.4153 0.2500 0.1653  2 Ta 2.05
12 O 0.8810 0.5904 0.2906  1 Ta 1.95
13 O 0.5363 0.3080 0.6067  2 Ta 2.01-2.06
14 O 0.4637 0.0705 0.7718  2 Ta 2.01-2.06
15 O 0.7987 0.5705 0.6067  2 Ta 2.01-2.06
16 O 0.2013 0.4295 0.3933  2 Ta 2.01-2.06
17 O 0.4637 0.6920 0.3933  2 Ta 2.01-2.06
18 O 0.5363 0.9295 0.2282  2 Ta 2.01-2.06
19 O 0.1190 0.4096 0.7094  1 Ta 1.95
20 O 0.5847 0.7500 0.8347  2 Ta 2.05
21 O 0.2002 0.9096 0.2906  1 Ta 1.95
22 O 0.2013 0.8080 0.7718  2 Ta 2.01-2.06

Volume: 168.3 Å³/f.u.
Energy above the most stable polymorph in this dataset: 0.039 eV/atom
Magnetization: 0.000 μB per cell
SG: Imma
VASP energy: -8.6202 eV per atom

---

Record 3
# Ba2Ta2O7

An optimized crystal structure of Ba2Ta2O7 (PBE-GGA, Alexandria).

Cell: 5.5452 6.6931 6.6931 Å, 105.91 97.11 97.11°
Last column: nearest neighbours and their distance in Å.
Fractional positions:
1 Ba 0.0000 0.3056 0.6944  6 O 2.70-2.73
2 Ba 0.0000 0.6944 0.3056  6 O 2.70-2.73
3 Ta 0.4123 0.2205 0.2205  4 O 1.85-1.94
4 Ta 0.5877 0.7795 0.7795  4 O 1.85-1.94
5 O 0.7722 0.9046 0.6201  1 Ta 1.85
6 O 0.2278 0.3799 0.0954  1 Ta 1.85
7 O 0.2278 0.0954 0.3799  1 Ta 1.85
8 O 0.7722 0.6201 0.9046  1 Ta 1.85
9 O 0.5000 0.0000 0.0000  2 Ta 1.94
10 O 0.2988 0.6166 0.6166  1 Ta 1.85
11 O 0.7012 0.3834 0.3834  1 Ta 1.85

Volume: 233.8 Å³/f.u.
Energy above the most stable polymorph in this dataset: 0.059 eV/atom
Magnetization: 0.000 μB per cell
SG: C2/m
VASP energy: -8.5994 eV per atom

---

Record 4
# BaTaO4

An optimized crystal structure of BaTaO4 (PBE-GGA, Alexandria).

Cell: 4.0623 6.1559 8.0404 Å, 90.00 104.63 90.00°
Last column: nearest neighbours and their distance in Å.
Fractional positions:
1 Ba 0.3346 0.7500 0.6692  6 O 2.67-2.82
2 Ba 0.6654 0.2500 0.3308  6 O 2.67-2.82
3 Ta 0.0868 0.7500 0.1736  6 O 1.93-2.05
4 Ta 0.9132 0.2500 0.8264  6 O 1.93-2.05
5 O 0.1753 0.5312 0.3507  1 Ta 1.93
6 O 0.8247 0.4688 0.6493  1 Ta 1.93
7 O 0.1753 0.9688 0.3507  1 Ta 1.93
8 O 0.8247 0.0312 0.6493  1 Ta 1.93
9 O 0.5779 0.7500 0.1558  2 Ta 2.04
10 O 0.4221 0.2500 0.8442  2 Ta 2.04
11 O 0.0000 0.5000 0.0000  2 Ta 2.05
12 O 0.0000 0.0000 0.0000  2 Ta 2.05

Volume: 97.3 Å³/f.u.
Magnetization: 2.050 μB per cell
SG: Cmcm
VASP energy: -8.1857 eV per atom

---

Record 5
# BaTa2O6

An optimized crystal structure of BaTa2O6 (PBE-GGA, Alexandria).

Cell: 5.3992 5.3992 5.7556 Å, 90.00 90.00 120.00°
Last column: nearest neighbours and their distance in Å.
Fractional positions:
1 Ba 0.0000 0.0000 0.0000  6 O 2.76
2 Ta 0.3333 0.6667 0.5000  6 O 2.01
3 Ta 0.6667 0.3333 0.5000  6 O 2.01
4 O 0.6058 0.0000 0.3040  2 Ta 2.01
5 O 0.3942 0.3942 0.3040  2 Ta 2.01
6 O 0.0000 0.6058 0.3040  2 Ta 2.01
7 O 0.6058 0.6058 0.6960  2 Ta 2.01
8 O 0.0000 0.3942 0.6960  2 Ta 2.01
9 O 0.3942 0.0000 0.6960  2 Ta 2.01

Volume: 145.3 Å³/f.u.
Magnetization: 0.000 μB per cell
SG: P-31m
VASP energy: -9.1615 eV per atom

---

Record 6
# Ba4Ta2O9

An optimized crystal structure of Ba4Ta2O9 (PBE-GGA, Alexandria).

Cell: 6.2617 6.2617 15.9257 Å, 90.00 90.00 120.00°
Last column: nearest neighbours and their distance in Å.
Fractional positions:
1 Ba 0.3333 0.6667 0.5340  3 O 2.66
2 Ba 0.3333 0.6667 0.7959  6 O 2.56-2.73
3 Ba 0.3333 0.6667 0.2959  6 O 2.56-2.73
4 Ba 0.3333 0.6667 0.0340  3 O 2.66
5 Ba 0.6667 0.3333 0.7041  6 O 2.56-2.73
6 Ba 0.6667 0.3333 0.2041  6 O 2.56-2.73
7 Ba 0.6667 0.3333 0.9660  3 O 2.66
8 Ba 0.6667 0.3333 0.4660  3 O 2.66
9 Ta 0.0000 0.0000 0.6524  6 O 1.94-2.14
10 Ta 0.0000 0.0000 0.8476  6 O 1.94-2.14
11 Ta 0.0000 0.0000 0.1524  6 O 1.94-2.14
12 Ta 0.0000 0.0000 0.3476  6 O 1.94-2.14
13 O 0.0000 0.7647 0.2500  2 Ta 2.14
14 O 0.0391 0.7448 0.9029  1 Ta 1.94
15 O 0.2552 0.9609 0.4029  1 Ta 1.94
16 O 0.0391 0.2943 0.4029  1 Ta 1.94
17 O 0.0000 0.2353 0.7500  2 Ta 2.14
18 O 0.2353 0.2353 0.2500  2 Ta 2.14
19 O 0.2552 0.2943 0.9029  1 Ta 1.94
20 O 0.7057 0.9609 0.9029  1 Ta 1.94
21 O 0.2943 0.2552 0.5971  1 Ta 1.94
22 O 0.2353 0.0000 0.7500  2 Ta 2.14
23 O 0.7057 0.7448 0.4029  1 Ta 1.94
24 O 0.2943 0.0391 0.0971  1 Ta 1.94
25 O 0.7448 0.7057 0.0971  1 Ta 1.94
26 O 0.7647 0.7647 0.7500  2 Ta 2.14
27 O 0.9609 0.7057 0.5971  1 Ta 1.94
28 O 0.7448 0.0391 0.5971  1 Ta 1.94
29 O 0.7647 0.0000 0.2500  2 Ta 2.14
30 O 0.9609 0.2552 0.0971  1 Ta 1.94

Volume: 270.4 Å³/f.u.
Energy above the most stable polymorph in this dataset: 0.083 eV/atom
Magnetization: 0.000 μB per cell
SG: P-3c1
VASP energy: -7.9286 eV per atom

---

Record 7
# BaTaO4

An optimized crystal structure of BaTaO4 (PBE-GGA, Alexandria).

Cell: 3.9448 3.9448 6.1707 Å, 90.00 90.00 90.00°
Last column: nearest neighbours and their distance in Å.
Fractional positions:
1 Ba 0.0000 0.0000 0.0000  8 O 3.00
2 Ta 0.5000 0.5000 0.5000  6 O 1.97-1.98
3 O 0.5000 0.5000 0.8203  1 Ta 1.98
4 O 0.5000 0.5000 0.1797  1 Ta 1.98
5 O 0.5000 0.0000 0.5000  2 Ta 1.97
6 O 0.0000 0.5000 0.5000  2 Ta 1.97

Volume: 96.0 Å³/f.u.
Magnetization: 0.497 μB per cell
SG: P4/mmm
VASP energy: -8.0692 eV per atom

---

Number 1: uncorrected formation energy -0.22 eV/atom. Number 2: uncorrected formation energy -2.96 eV/atom. Number 3: uncorrected formation energy -2.94 eV/atom. Number 4: uncorrected formation energy -2.58 eV/atom. Number 5: uncorrected formation energy -3.01 eV/atom. Number 6: uncorrected formation energy -2.86 eV/atom. Number 7: uncorrected formation energy -2.47 eV/atom.